No. 1
Ba2Zn3CuSn4 | PBE-GGA | optimized geometry

```
Ba2Zn3CuSn4
1.0
4.783 0.000 0.000
0.000 4.783 0.000
0.000 0.000 11.303
Ba Zn Cu Sn
2 3 1 4
direct
0.000 0.500 0.239
0.500 0.000 0.761
0.000 0.000 0.000
0.000 0.500 0.639
0.500 0.000 0.361
0.500 0.500 0.000
0.000 0.000 0.500
0.000 0.500 0.879
0.500 0.000 0.121
0.500 0.500 0.500
```

Values from the calculation:
V: 25.86 Å³/atom
ΔE_f: -0.39 eV per atom
theoretical density: 6.48 g/cm3

=====

No. 2
Ta5Ir4Rh2 | PBE-GGA | optimized geometry

```
Ta5Ir4Rh2
1.0
6.420 0.000 0.000
0.000 15.328 0.000
0.000 0.000 3.683
Ta Ir Rh
10 8 4
direct
0.000 0.000 0.000
0.112 0.412 0.000
0.202 0.192 0.000
0.298 0.692 0.000
0.388 0.912 0.000
0.500 0.500 0.000
0.612 0.088 0.000
0.702 0.308 0.000
0.798 0.808 0.000
0.888 0.588 0.000
0.092 0.872 0.500
0.197 0.546 0.500
0.303 0.046 0.500
0.408 0.372 0.500
0.592 0.628 0.500
0.697 0.954 0.500
0.803 0.454 0.500
0.908 0.128 0.500
0.009 0.295 0.500
0.491 0.795 0.500
0.509 0.205 0.500
0.991 0.705 0.500
```

Values from the calculation:
V: 16.47 Å³/atom
ΔE_f: -0.40 eV per atom
theoretical density: 17.22 g/cm3